Density functional theory data (GGA+U) for Ti4MnP6O24 after structural relaxation.

The structure in CIF format:
```
data_Ti4MnP6O24
_cell_length_a 8.6502
_cell_length_b 8.6502
_cell_length_c 21.2451
_cell_angle_alpha 90.00
_cell_angle_beta 90.00
_cell_angle_gamma 120.00
_space_group_name_H-M_alt 'R -3'
_space_group_IT_number 148
_space_group_name_Hall '-R 3'
loop_
_atom_site_label
_atom_site_type_symbol
_atom_site_fract_x
_atom_site_fract_y
_atom_site_fract_z
Ti1 Ti 0.0000 0.0000 0.1342
Ti2 Ti 0.0000 0.0000 0.3526
Mn1 Mn 0.0000 0.0000 0.5000
P1 P 0.0065 0.2904 0.2466
O1 O 0.0052 0.1886 0.3073
O2 O 0.0196 0.1948 0.1884
O3 O 0.0238 0.8393 0.4200
O4 O 0.0288 0.1987 0.9155
```

DOS at the Fermi energy ... 0.00 states/eV per cell
Final energy ... -835.5 eV per cell
Calculated volume ... 1376.7 Å³ per cell